(1)
Here is a relaxed Na2Pb2Au crystal from Alexandria. Energies are from PBEsol.

a = 5.057 Å, b = 7.317 Å, c = 7.317 Å
α = 90.00°, β = 90.00°, γ = 90.00°
Positions (direct):
Pb 0.000 0.355 0.855
Pb 0.000 0.855 0.645
Pb 0.000 0.645 0.145
Pb 0.000 0.145 0.355
Na 0.500 0.167 0.667
Na 0.500 0.667 0.833
Na 0.500 0.833 0.333
Na 0.500 0.333 0.167
Au 0.000 0.000 0.000
Au 0.000 0.500 0.500

formation energy from the elements = -106 meV/atom
N(E_F) = 4.8 states/eV per cell
total magnetization = 0.0 Bohr magnetons per cell
space group = P4/mbm (127)

=====

(2)
Here is a relaxed Sr2CoBr crystal from Alexandria. Energies are from PBEsol.

a = 3.795 Å, b = 4.932 Å, c = 6.017 Å
α = 90.00°, β = 108.38°, γ = 90.00°
Positions (direct):
Sr 0.986 0.500 0.971
Sr 0.254 0.000 0.509
Co 0.734 0.500 0.468
Br 0.526 0.000 0.052

excess energy over the best structure of this formula in the dataset = 0.0 meV per atom
N(E_F) = 4.8 states/eV per cell
total magnetization = 0.3 Bohr magnetons per cell
space group = Amm2 (38)
E_form (uncorrected) = -0.2890 eV/atom

=====

(3)
Here is a relaxed FeHgTeN2 crystal from Alexandria. Energies are from PBEsol.

a = 3.767 Å, b = 3.767 Å, c = 5.404 Å
α = 90.00°, β = 90.00°, γ = 90.00°
Positions (direct):
N 0.000 0.500 0.000
N 0.500 0.000 0.000
Te 0.000 0.000 0.500
Hg 0.500 0.500 0.500
Fe 0.000 0.000 0.000

N(E_F) = 3.1 states/eV per cell
total magnetization = 0.0 Bohr magnetons per cell
space group = P4/mmm (123)
E_form (uncorrected) = 0.8576 eV/atom